# 1
Compound: TcBSe3
Source: Alexandria
Functional: PBE
Structure: relaxed

a b c (Å): 4.880 4.880 4.880
angles (deg): 90.00 90.00 90.00
Space group Pm-3m (No. 221)
Asymmetric unit:
Tc (0.000, 0.000, 0.000) [1 per cell]
B (0.500, 0.500, 0.500) [1 per cell]
Se (0.000, 0.000, 0.500) [3 per cell]

Theoretical density ... 4.9 Mg/m³
Polymorph energy (0 for the lowest one) ... 206.4 meV per atom
Formation energy from raw total energies ... 1.20 eV/atom



# 2
Compound: Mn2AlTl
Source: Alexandria
Functional: PBE
Structure: relaxed

a b c (Å): 10.477 3.103 4.539
angles (deg): 90.00 114.79 90.00
Space group Cm (No. 8)
Asymmetric unit:
Mn (0.000, 0.000, 0.000) [2 per cell]
Mn (0.234, 0.500, 0.243) [2 per cell]
Al (0.263, 0.000, 0.775) [2 per cell]
Tl (0.495, 0.000, 0.495) [2 per cell]

Theoretical density ... 8.5 Mg/m³
Polymorph energy (0 for the lowest one) ... 101.0 meV per atom
DFT formation energy ... 0.32 eV per atom



Q: Among the records above, which one has the highest theoretical density?
A: Mn2AlTl